Pr2YEr2Tm2 after structural relaxation. Source: Alexandria via LeMat-Bulk, functional GGA-PBE.

Results
- energy (eV per atom) = -4.756

Cell: 3.477 12.016 14.804 Å, 156.59 90.00 98.32°
Sites, in units of the cell vectors:
Pr 0.609 0.219 0.869
Pr 0.391 0.781 0.131
Y 0.000 0.000 0.500
Er 0.917 0.834 0.768
Er 0.083 0.166 0.232
Tm 0.755 0.510 0.315
Tm 0.245 0.490 0.685


BaSrAsI after structural relaxation. Source: Alexandria via LeMat-Bulk, functional GGA-PBE.

Results
- formation energy without anion corrections (eV/atom) = -1.44

Cell: 4.680 4.680 8.806 Å, 90.01 105.41 119.99°
Sites, in units of the cell vectors:
Ba 0.504 0.150 0.670
Sr 0.104 0.950 0.069
As 0.312 0.554 0.882
I 0.958 0.377 0.349


La2Tb6Sm3Y after structural relaxation. Source: Alexandria via LeMat-Bulk, functional GGA-PBE.

Results
- energy (eV per atom) = -4.839

Cell: 6.260 6.260 11.938 Å, 95.01 95.01 119.99°
Sites, in units of the cell vectors:
La 0.334 0.666 0.000
La 0.666 0.334 0.000
Tb 0.915 0.583 0.748
Tb 0.752 0.752 0.253
Tb 0.085 0.417 0.252
Tb 0.583 0.915 0.748
Tb 0.248 0.248 0.747
Tb 0.417 0.085 0.252
Sm 0.167 0.833 0.500
Sm 0.833 0.167 0.500
Sm 0.500 0.500 0.500
Y 0.000 0.000 0.000


LiTlNi2 after structural relaxation. Source: Alexandria via LeMat-Bulk, functional GGA-PBE.

Results
- energy (eV per atom) = -3.781

Cell: 2.943 3.557 5.507 Å, 90.00 90.00 90.00°
Sites, in units of the cell vectors:
Li 0.500 0.500 0.750
Ni 0.000 0.000 0.976
Ni 0.000 0.000 0.524
Tl 0.500 0.500 0.250


LaUFeN3 after structural relaxation. Source: Alexandria via LeMat-Bulk, functional GGA-PBE.

Results
- formation energy without anion corrections (eV/atom) = -1.00

Cell: 3.445 7.304 7.288 Å, 104.26 90.00 90.00°
Sites, in units of the cell vectors:
La 0.750 0.816 0.780
La 0.250 0.184 0.220
U 0.250 0.670 0.176
U 0.750 0.330 0.824
Fe 0.250 0.087 0.585
Fe 0.750 0.913 0.415
N 0.250 0.811 0.505
N 0.750 0.868 0.136
N 0.750 0.445 0.135
N 0.750 0.189 0.495
N 0.250 0.555 0.865
N 0.250 0.132 0.864


SiAgPt2 after structural relaxation. Source: Alexandria via LeMat-Bulk, functional GGA-PBE.

Results
- formation energy without anion corrections (eV/atom) = -0.11

Cell: 4.701 4.701 2.895 Å, 90.00 90.00 105.06°
Sites, in units of the cell vectors:
Ag 0.000 0.500 0.500
Pt 0.000 0.000 0.000
Pt 0.500 0.500 0.000
Si 0.500 0.000 0.500


Per-record total moment, μB per formula unit: 0.0, 0.0, 0.0, 0.0, 1.1, 0.0
Per-record density of states at the Fermi level, states/eV per cell: 10.69, 0.00, 15.60, 2.58, 8.41, 2.21